GGA-PBE Dy2Ga5Cu3, optimized geometry; E = -4.14 eV/atom; space-group type = Ibam, No. 72; DOS(E_F) = 7.1 states/eV per cell
1.0
-5.193 5.801 2.911
5.193 -5.801 2.911
5.193 5.801 -2.911
Dy Ga Cu
4 10 6
Cartesian
2.520 1.499 0.000
2.520 -1.499 2.911
2.673 7.300 0.000
2.673 4.302 2.911
5.193 -2.790 1.455
6.734 1.283 0.000
0.000 0.000 1.455
1.541 4.518 0.000
5.193 2.790 1.455
0.000 3.011 1.455
3.652 1.283 2.911
0.000 0.000 4.366
-1.541 4.518 2.911
0.000 8.591 1.455
3.891 -4.293 2.911
5.193 0.000 1.455
3.891 4.293 0.000
1.302 1.508 2.911
0.000 5.801 1.455
1.302 10.094 0.000